1.
First-principles (GGA-PBE) data for an optimized crystal structure of Rb2TmAs2O6, as listed in Alexandria.

For the formation energy (no corrections), the calculation gives -1.93 eV per atom.

It has space group C2/m (No. 12), with a = 10.1571 Å, b = 5.9852 Å, c = 7.3092 Å, α = 90.00°, β = 115.55° and γ = 90.00°. The asymmetric unit holds Rb at (0.2157, 0.0000, 0.1836), Tm at (0.0000, 0.0000, 0.5000), As at (0.0716, 0.5000, 0.2229), O at (0.0117, 0.2641, 0.7260) and O at (0.2413, 0.0000, 0.6076).


2.
First-principles (GGA-PBE) data for an optimized crystal structure of AlCd2Pb, as listed in Alexandria.

The value obtained for the energy relative to the lowest polymorph listed for this composition is 29 meV per atom. As for the calculated formation energy: 141 meV/atom.

It has space group Cmm2 (No. 35), with a = 4.6143 Å, b = 4.6563 Å, c = 8.9680 Å, α = 90.00°, β = 90.00° and γ = 90.00°. The asymmetric unit holds Al at (0.0000, 0.0000, 0.0000), Cd at (0.0000, 0.0000, 0.5439), Cd at (0.0000, 0.5000, 0.7864) and Pb at (0.0000, 0.5000, 0.2608).


3.
First-principles (GGA-PBE) data for an optimized crystal structure of Na2Sm2NpO6, as listed in Alexandria.

For the formation energy (no corrections), the calculation gives -2.71 eV per atom.

It has space group C2/m (No. 12), with a = 6.1212 Å, b = 10.6266 Å, c = 5.9359 Å, α = 90.00°, β = 108.27° and γ = 90.00°. The asymmetric unit holds Na at (0.0000, 0.1650, 0.0000), Sm at (0.0000, 0.3345, 0.5000), Np at (0.0000, 0.0000, 0.5000), O at (0.2156, 0.1674, 0.7005) and O at (0.2421, 0.0000, 0.3016).


4.
First-principles (GGA-PBE) data for an optimized crystal structure of RbSrRe2O8, as listed in Alexandria.

For the formation energy (no corrections), the calculation gives -1.97 eV per atom.

It has space group P-3m1 (No. 164), with a = 6.2093 Å, b = 6.2093 Å, c = 8.1438 Å, α = 90.00°, β = 90.00° and γ = 120.00°. The asymmetric unit holds Rb at (0.0000, 0.0000, 0.0000), Sr at (0.0000, 0.0000, 0.5000), Re at (0.3333, 0.6667, 0.7705), O at (0.1767, 0.3535, 0.6984) and O at (0.3333, 0.6667, 0.9866).


5.
First-principles (GGA-PBE) data for an optimized crystal structure of NbFePd, as listed in Alexandria.

The value obtained for the energy relative to the lowest polymorph listed for this composition is 0 meV per atom. As for the calculated formation energy: -84 meV/atom.

It has space group I4/mmm (No. 139), with a = 2.8640 Å, b = 2.8640 Å, c = 22.9249 Å, α = 90.00°, β = 90.00° and γ = 90.00°. The asymmetric unit holds Nb at (0.0000, 0.0000, 0.1427), Fe at (0.0000, 0.0000, 0.2789) and Pd at (0.0000, 0.0000, 0.4418).


6.
First-principles (GGA-PBE) data for an optimized crystal structure of AgSb, as listed in Alexandria.

The value obtained for the energy relative to the lowest polymorph listed for this composition is 169 meV per atom. For the formation energy (no corrections), the calculation gives 0.25 eV per atom.

It has space group P6_3/mmc (No. 194), with a = 4.8201 Å, b = 4.8201 Å, c = 5.7547 Å, α = 90.00°, β = 90.00° and γ = 120.00°. The asymmetric unit holds Ag at (0.3333, 0.6667, 0.2500) and Sb at (0.3333, 0.6667, 0.7500).


7.
First-principles (GGA-PBE) data for an optimized crystal structure of Ta3CdGa, as listed in Alexandria.

The value obtained for the energy relative to the lowest polymorph listed for this composition is 0 meV per atom. As for the calculated formation energy: 1123 meV/atom.

It has space group Pm-3m (No. 221), with a = 4.7474 Å, b = 4.7474 Å, c = 4.7474 Å, α = 90.00°, β = 90.00° and γ = 90.00°. The asymmetric unit holds Ta at (0.0000, 0.0000, 0.5000), Cd at (0.5000, 0.5000, 0.5000) and Ga at (0.0000, 0.0000, 0.0000).


8.
First-principles (GGA-PBE) data for an optimized crystal structure of Sr2AsOsPt, as listed in Alexandria.

As for the calculated formation energy: 96 meV/atom.

It has space group P4/mmm (No. 123), with a = 5.7967 Å, b = 5.7967 Å, c = 4.5570 Å, α = 90.00°, β = 90.00° and γ = 90.00°. The asymmetric unit holds Sr at (0.0000, 0.5000, 0.0000), As at (0.0000, 0.0000, 0.5000), Os at (0.0000, 0.0000, 0.0000) and Pt at (0.5000, 0.5000, 0.5000).


9.
First-principles (GGA-PBE) data for an optimized crystal structure of Pu2FeAu, as listed in Alexandria.

The value obtained for the energy relative to the lowest polymorph listed for this composition is 350 meV per atom. As for the calculated formation energy: 185 meV/atom.

It has space group P4/mmm (No. 123), with a = 4.2185 Å, b = 4.2185 Å, c = 4.6124 Å, α = 90.00°, β = 90.00° and γ = 90.00°. The asymmetric unit holds Pu at (0.0000, 0.5000, 0.0000), Fe at (0.0000, 0.0000, 0.5000) and Au at (0.5000, 0.5000, 0.5000).


10.
First-principles (GGA-PBE) data for an optimized crystal structure of BeAs2Ir, as listed in Alexandria.

As for the calculated formation energy: 65 meV/atom.

It has space group I-42d (No. 122), with a = 5.4456 Å, b = 5.4456 Å, c = 10.4030 Å, α = 90.00°, β = 90.00° and γ = 90.00°. The asymmetric unit holds Be at (0.0000, 0.0000, 0.0000), As at (0.2281, 0.2500, 0.1250) and Ir at (0.0000, 0.0000, 0.5000).


11.
First-principles (GGA-PBE) data for an optimized crystal structure of ThAl8Ni4, as listed in Alexandria.

As for the calculated formation energy: -556 meV/atom.

It has space group I4/mmm (No. 139), with a = 8.6993 Å, b = 8.6993 Å, c = 5.1264 Å, α = 90.00°, β = 90.00° and γ = 90.00°. The asymmetric unit holds Th at (0.0000, 0.0000, 0.0000), Al at (0.0000, 0.2241, 0.5000), Al at (0.0000, 0.3468, 0.0000) and Ni at (0.2500, 0.2500, 0.2500).


12.
First-principles (GGA-PBE) data for an optimized crystal structure of Cu2Ru, as listed in Alexandria.

The value obtained for the energy relative to the lowest polymorph listed for this composition is 166 meV per atom. As for the calculated formation energy: 305 meV/atom.

It has space group P6/mmm (No. 191), with a = 4.2410 Å, b = 4.2410 Å, c = 2.4734 Å, α = 90.00°, β = 90.00° and γ = 120.00°. The asymmetric unit holds Cu at (0.3333, 0.6667, 0.0000) and Ru at (0.0000, 0.0000, 0.5000).


13.
First-principles (GGA-PBE) data for an optimized crystal structure of TbEuCuSn, as listed in Alexandria.

As for the calculated formation energy: -412 meV/atom.

It has space group F-43m (No. 216), with a = 7.4587 Å, b = 7.4587 Å, c = 7.4587 Å, α = 90.00°, β = 90.00° and γ = 90.00°. The asymmetric unit holds Tb at (0.0000, 0.0000, 0.0000), Eu at (0.0000, 0.0000, 0.5000), Cu at (0.2500, 0.2500, 0.2500) and Sn at (0.2500, 0.2500, 0.7500).


14.
First-principles (GGA-PBE) data for an optimized crystal structure of InGaPt5, as listed in Alexandria.

As for the calculated formation energy: -383 meV/atom.

It has space group P4/mmm (No. 123), with a = 4.0311 Å, b = 4.0311 Å, c = 7.2538 Å, α = 90.00°, β = 90.00° and γ = 90.00°. The asymmetric unit holds In at (0.0000, 0.0000, 0.0000), Ga at (0.5000, 0.5000, 0.5000), Pt at (0.0000, 0.5000, 0.2825) and Pt at (0.5000, 0.5000, 0.0000).


15.
First-principles (GGA-PBE) data for an optimized crystal structure of Pr2DyAg, as listed in Alexandria.

The value obtained for the energy relative to the lowest polymorph listed for this composition is 127 meV per atom. As for the calculated formation energy: 9 meV/atom.

It has space group Cm (No. 8), with a = 6.3701 Å, b = 3.6834 Å, c = 10.8952 Å, α = 90.00°, β = 101.18° and γ = 90.00°. The asymmetric unit holds Pr at (0.0000, 0.0000, 0.0000), Pr at (0.1813, 0.0000, 0.5449), Dy at (0.4236, 0.0000, 0.2711) and Ag at (0.0914, 0.5000, 0.7745).


16.
First-principles (GGA-PBE) data for an optimized crystal structure of NpCu2Ag3Se6, as listed in Alexandria.

For the formation energy (no corrections), the calculation gives -0.30 eV per atom.

It has space group C2/m (No. 12), with a = 7.1463 Å, b = 10.9566 Å, c = 6.8624 Å, α = 90.00°, β = 108.36° and γ = 90.00°. The asymmetric unit holds Np at (0.0000, 0.0000, 0.0000), Cu at (0.0000, 0.3227, 0.0000), Ag at (0.0000, 0.1365, 0.5000), Ag at (0.0000, 0.5000, 0.5000), Se at (0.1900, 0.5000, 0.1947) and Se at (0.2168, 0.1784, 0.2508).


17.
First-principles (GGA-PBE) data for an optimized crystal structure of NaH3Pd, as listed in Alexandria.

The value obtained for the energy relative to the lowest polymorph listed for this composition is 105 meV per atom.

It has space group C2/c (No. 15), with a = 9.4999 Å, b = 8.9043 Å, c = 5.1578 Å, α = 90.00°, β = 95.75° and γ = 90.00°. The asymmetric unit holds Na at (0.1950, 0.1213, 0.2490), H at (0.0658, 0.2702, 0.4499), H at (0.0874, 0.4067, 0.9227), H at (0.1311, 0.1237, 0.8172), Pd at (0.0000, 0.2529, 0.7500) and Pd at (0.0000, 0.4205, 0.2500).


18.
First-principles (GGA-PBE) data for an optimized crystal structure of Dy5Sc2Tl4, as listed in Alexandria.

As for the calculated formation energy: 98 meV/atom.

It has space group Immm (No. 71), with a = 3.5252 Å, b = 10.3220 Å, c = 18.2760 Å, α = 90.00°, β = 90.00° and γ = 90.00°. The asymmetric unit holds Dy at (0.0000, 0.0000, 0.0000), Dy at (0.0000, 0.1693, 0.3116), Sc at (0.0000, 0.5000, 0.3233), Tl at (0.0000, 0.2422, 0.5000) and Tl at (0.0000, 0.5000, 0.0803).


19.
First-principles (GGA-PBE) data for an optimized crystal structure of LiMo2As, as listed in Alexandria.

As for the calculated formation energy: 231 meV/atom.

It has space group Cmmm (No. 65), with a = 5.3373 Å, b = 6.1121 Å, c = 3.5638 Å, α = 90.00°, β = 90.00° and γ = 90.00°. The asymmetric unit holds Li at (0.0000, 0.0000, 0.0000), Mo at (0.2500, 0.2500, 0.5000) and As at (0.0000, 0.5000, 0.0000).


20.
First-principles (GGA-PBE) data for an optimized crystal structure of ZnCdCu, as listed in Alexandria.

The value obtained for the energy relative to the lowest polymorph listed for this composition is 0 meV per atom. As for the calculated formation energy: 20 meV/atom.

It has space group I4mm (No. 107), with a = 2.9456 Å, b = 2.9456 Å, c = 11.0681 Å, α = 90.00°, β = 90.00° and γ = 90.00°. The asymmetric unit holds Zn at (0.0000, 0.0000, 0.0000), Cd at (0.0000, 0.0000, 0.3075) and Cu at (0.0000, 0.0000, 0.6343).